[1]
NaSmRe GGA-PBE relaxed; crystal system = cubic; size of the total moment = 1.46 μB/cell
1.0
2.983 -3.323 -1.468
1.185 -3.529 2.870
-1.563 -4.350 -0.854
Na Re Sm
1 1 1
Cartesian
0.000 0.000 0.000 Na
0.651 -2.801 0.137 Re
1.953 -8.402 0.411 Sm


[2]
NaSmRe GGA-PBE relaxed; crystal system = cubic; size of the total moment = 1.28 μB/cell
1.0
0.000 3.413 3.413
3.413 0.000 3.413
3.413 3.413 0.000
Re Sm Na
1 1 1
Cartesian
5.119 5.119 5.119 Re
0.000 0.000 0.000 Sm
1.706 1.706 1.706 Na


[3]
NaReSn GGA-PBE relaxed; crystal system = cubic; size of the total moment = 1.51 μB/cell
1.0
2.633 0.351 3.762
-1.547 -1.560 4.047
1.854 -3.776 1.873
Na Re Sn
1 1 1
Cartesian
0.735 -1.246 2.421 Na
0.000 0.000 0.000 Re
2.204 -3.739 7.262 Sn


[4]
Na6ReSn2 GGA-PBE relaxed; crystal system = monoclinic; size of the total moment = 1.93 μB/cell
1.0
4.999 -2.685 0.000
4.999 2.685 0.000
-0.898 0.000 9.147
Na Sn Re
6 2 1
Cartesian
2.224 0.000 8.644 Na
4.716 0.000 6.748 Na
6.877 0.000 0.503 Na
1.233 0.000 5.483 Na
7.868 0.000 3.664 Na
4.385 0.000 2.399 Na
1.147 0.000 2.353 Sn
7.954 0.000 6.794 Sn
0.000 0.000 0.000 Re


[5]
NaReSnTe GGA-PBE relaxed; crystal system = cubic; size of the total moment = 1.45 μB/cell
1.0
0.000 3.507 3.507
3.507 0.000 3.507
3.507 3.507 0.000
Na Re Te Sn
1 1 1 1
Cartesian
5.261 5.261 5.261 Na
0.000 0.000 0.000 Re
3.507 3.507 3.507 Te
1.754 1.754 1.754 Sn


[6]
NaReSnTe GGA-PBE relaxed; crystal system = cubic; size of the total moment = 0.00 μB/cell
1.0
0.000 3.409 3.409
3.409 0.000 3.409
3.409 3.409 0.000
Re Sn Te Na
1 1 1 1
Cartesian
1.705 1.705 1.705 Re
0.000 0.000 0.000 Sn
3.409 3.409 3.409 Te
5.114 5.114 5.114 Na


[7]
NaReSnW GGA-PBE relaxed; crystal system = cubic; size of the total moment = 0.00 μB/cell
1.0
-1.530 -0.442 4.307
-2.272 3.456 1.995
-4.504 -0.377 0.809
Sn Na Re W
1 1 1 1
Cartesian
-4.153 1.319 3.556 Sn
-6.229 1.978 5.334 Na
0.000 0.000 0.000 Re
-2.076 0.659 1.778 W


[8]
NaReSnW GGA-PBE relaxed; crystal system = cubic; size of the total moment = 0.00 μB/cell
1.0
0.000 3.234 3.234
3.234 0.000 3.234
3.234 3.234 0.000
W Re Na Sn
1 1 1 1
Cartesian
0.000 0.000 0.000 W
1.617 1.617 1.617 Re
4.851 4.851 4.851 Na
3.234 3.234 3.234 Sn


| no. | total energy (eV/f.u.) |
| --- | --- |
| 1 | -13.633 |
| 2 | -13.646 |
| 3 | -14.376 |
| 4 | -25.728 |
| 5 | -17.133 |
| 6 | -19.211 |
| 7 | -28.104 |
| 8 | -28.577 |